Model i:
DFT (PBE-GGA) results for an optimized crystal structure of Li2Lu2O5.

Geometry as POSCAR:
```
Li2Lu2O5
1.0
4.038 0.000 0.000
0.000 4.038 0.000
0.000 0.000 7.743
Li Lu O
2 2 5
direct
0.000 0.000 0.000
0.000 0.000 0.500
0.500 0.500 0.233
0.500 0.500 0.767
0.000 0.500 0.153
0.000 0.500 0.847
0.500 0.000 0.153
0.500 0.000 0.847
0.500 0.500 0.500
```

---

Model ii:
DFT (PBE-GGA) results for an optimized crystal structure of Li2Lu2O5.

Geometry as POSCAR:
```
Li2Lu2O5
1.0
3.586 0.000 0.000
0.000 3.586 0.000
0.000 0.000 6.915
Li Lu O
2 2 5
direct
0.000 0.000 0.246
0.000 0.000 0.754
0.500 0.500 0.000
0.500 0.500 0.500
0.000 0.000 0.500
0.000 0.500 0.206
0.000 0.500 0.794
0.500 0.000 0.206
0.500 0.000 0.794
```

---

Which one sits at the bottom of the stability order? model i does.

---

Model i:
DFT (PBE-GGA) results for an optimized crystal structure of LiLuO4.

Geometry as POSCAR:
```
LiLuO4
1.0
3.614 0.000 0.000
-0.003 4.287 0.000
-0.030 -1.138 7.884
Li Lu O
2 2 8
direct
0.000 0.000 0.000
0.000 0.000 0.500
0.494 0.500 0.250
0.506 0.500 0.750
0.004 0.444 0.583
0.007 0.556 0.917
0.494 0.029 0.346
0.494 0.972 0.154
0.506 0.028 0.846
0.506 0.971 0.654
0.993 0.444 0.083
0.996 0.556 0.417
```

---

Model ii:
DFT (PBE-GGA) results for an optimized crystal structure of LiLuO4.

Geometry as POSCAR:
```
LiLuO4
1.0
4.139 0.000 0.000
-0.226 5.615 0.000
-0.011 -0.061 5.825
Li Lu O
2 2 8
direct
0.000 0.246 0.322
0.000 0.754 0.678
0.499 0.747 0.293
0.501 0.253 0.707
0.169 0.754 0.991
0.170 0.260 0.009
0.233 0.500 0.506
0.237 0.999 0.496
0.763 0.001 0.504
0.767 0.500 0.494
0.830 0.740 0.991
0.831 0.246 0.009
```

---

Which one sits at the bottom of the stability order? model ii does.

---

Model i:
DFT (PBE-GGA) results for an optimized crystal structure of LiLuSO.

Geometry as POSCAR:
```
LiLuSO
1.0
6.083 0.000 0.000
0.000 6.996 0.000
-1.103 0.000 6.063
Li Lu S O
4 4 4 4
direct
0.078 0.236 0.419
0.078 0.264 0.919
0.922 0.736 0.081
0.922 0.764 0.581
0.470 0.621 0.269
0.470 0.879 0.769
0.530 0.121 0.231
0.530 0.379 0.731
0.200 0.598 0.857
0.200 0.902 0.357
0.800 0.098 0.643
0.800 0.402 0.143
0.368 0.153 0.893
0.368 0.347 0.393
0.632 0.653 0.607
0.632 0.847 0.107
```

---

Model ii:
DFT (PBE-GGA) results for an optimized crystal structure of LiLuSO.

Geometry as POSCAR:
```
LiLuSO
1.0
5.395 0.000 0.000
0.000 9.133 0.000
0.000 0.000 5.346
Li Lu S O
4 4 4 4
direct
0.152 0.035 0.000
0.348 0.035 0.500
0.652 0.965 0.000
0.848 0.965 0.500
0.004 0.314 0.646
0.496 0.314 0.146
0.504 0.686 0.646
0.996 0.686 0.146
0.007 0.640 0.646
0.493 0.640 0.146
0.507 0.360 0.646
0.993 0.360 0.146
0.050 0.103 0.671
0.450 0.103 0.171
0.550 0.897 0.671
0.950 0.897 0.171
```

---

Which one sits at the bottom of the stability order? model ii does.

---

Model i:
DFT (PBE-GGA) results for an optimized crystal structure of LiLuSO.

Geometry as POSCAR:
```
LiLuSO
1.0
3.913 0.000 0.000
0.000 6.514 0.000
0.000 0.000 5.961
Li Lu S O
2 2 2 2
direct
0.000 0.210 0.000
0.000 0.790 0.500
0.500 0.351 0.433
0.500 0.649 0.933
0.000 0.158 0.596
0.000 0.842 0.096
0.500 0.363 0.085
0.500 0.637 0.585
```

---

Model ii:
DFT (PBE-GGA) results for an optimized crystal structure of LiLuSO.

Geometry as POSCAR:
```
LiLuSO
1.0
3.750 0.000 0.000
0.000 3.750 0.000
0.000 0.000 8.434
Li Lu S O
2 2 2 2
direct
0.250 0.750 0.000
0.750 0.250 0.000
0.250 0.250 0.372
0.750 0.750 0.628
0.250 0.250 0.823
0.750 0.750 0.177
0.250 0.750 0.500
0.750 0.250 0.500
```

---

Model iii:
DFT (PBE-GGA) results for an optimized crystal structure of LiLuSO.

Geometry as POSCAR:
```
LiLuSO
1.0
5.371 0.000 0.000
0.000 5.362 0.000
-2.385 0.000 9.365
Li Lu S O
4 4 4 4
direct
0.019 0.000 0.420
0.465 0.438 0.414
0.535 0.938 0.586
0.981 0.500 0.580
0.049 0.646 0.114
0.450 0.644 0.886
0.550 0.144 0.114
0.951 0.146 0.886
0.113 0.911 0.670
0.395 0.903 0.330
0.605 0.403 0.670
0.887 0.411 0.330
0.250 0.894 0.000
0.251 0.395 0.001
0.749 0.895 0.999
0.750 0.394 0.000
```

---

Which one sits at the bottom of the stability order? model i does.